{
  "formula": "Pm2H7Pt2",
  "functional": "PBE",
  "state": "relaxed",
  "space_group": "C2/m, No. 12",
  "energy_ev_per_atom": -4.459,
  "magnetic_moment_mub_per_cell": 0.00,
  "n_ef_per_ev_cell": 1.43,
  "cell": [[-2.562, -2.596, -2.314], [-2.293, -1.526, 4.563], [-3.596, 3.932, -0.117]],
  "species": ["H", "H", "H", "H", "H", "H", "H", "Pt", "Pt", "Pm", "Pm"],
  "frac_coords": [[0.220, 0.550, 0.936], [0.220, 0.936, 0.550], [0.780, 0.064, 0.450], [0.246, 0.415, 0.415], [0.780, 0.450, 0.064], [0.754, 0.585, 0.585], [0.000, 0.000, 0.000], [0.002, 0.228, 0.228], [0.998, 0.772, 0.772], [0.500, 0.246, 0.754], [0.500, 0.754, 0.246]]
}

{
  "formula": "PmH6Pt",
  "functional": "PBE",
  "state": "relaxed",
  "space_group": "R-3m, No. 166",
  "energy_ev_per_atom": -4.217,
  "magnetic_moment_mub_per_cell": 0.00,
  "n_ef_per_ev_cell": 1.93,
  "cell": [[3.996, 0.000, 2.088], [1.453, 3.723, 2.088], [0.030, 0.020, 4.812]],
  "species": ["Pt", "H", "H", "H", "H", "H", "H", "Pm"],
  "frac_coords": [[0.000, 0.000, 0.000], [0.436, 0.899, 0.767], [0.899, 0.899, 0.767], [0.564, 0.101, 0.233], [0.899, 0.436, 0.767], [0.101, 0.564, 0.233], [0.101, 0.101, 0.233], [0.500, 0.500, 0.500]]
}

{
  "formula": "Pm3HPt",
  "functional": "PBE",
  "state": "relaxed",
  "space_group": "P2_1/c, No. 14",
  "energy_ev_per_atom": -5.287,
  "magnetic_moment_mub_per_cell": 0.00,
  "n_ef_per_ev_cell": 14.19,
  "cell": [[-3.787, 0.086, 5.715], [4.443, -4.306, 3.009], [4.184, 9.054, 2.636]],
  "species": ["Pm", "Pm", "Pm", "Pm", "Pm", "Pm", "Pm", "Pm", "Pm", "Pm", "Pm", "Pm", "H", "H", "H", "H", "Pt", "Pt", "Pt", "Pt"],
  "frac_coords": [[0.103, 0.652, 0.624], [0.082, 0.247, 0.042], [0.418, 0.247, 0.542], [0.547, 0.131, 0.169], [0.397, 0.652, 0.124], [0.047, 0.869, 0.331], [0.918, 0.753, 0.958], [0.897, 0.348, 0.376], [0.453, 0.869, 0.831], [0.603, 0.348, 0.876], [0.582, 0.753, 0.458], [0.953, 0.131, 0.669], [0.204, 0.951, 0.541], [0.704, 0.049, 0.959], [0.796, 0.049, 0.459], [0.296, 0.951, 0.041], [0.293, 0.446, 0.333], [0.793, 0.554, 0.167], [0.707, 0.554, 0.667], [0.207, 0.446, 0.833]]
}

{
  "formula": "PmHPt2",
  "functional": "PBE",
  "state": "relaxed",
  "space_group": "R-3m, No. 166",
  "energy_ev_per_atom": -4.824,
  "magnetic_moment_mub_per_cell": 0.00,
  "n_ef_per_ev_cell": 2.57,
  "cell": [[-0.359, -2.758, -1.222], [0.331, -2.479, 1.723], [-7.787, -1.531, 1.969]],
  "species": ["Pt", "Pt", "H", "Pm"],
  "frac_coords": [[0.116, 0.116, 0.652], [0.884, 0.884, 0.348], [0.500, 0.500, 0.500], [0.000, 0.000, 0.000]]
}

{
  "formula": "Pm12HPt6",
  "functional": "PBE",
  "state": "relaxed",
  "space_group": "R-3, No. 148",
  "energy_ev_per_atom": -5.800,
  "magnetic_moment_mub_per_cell": 0.00,
  "n_ef_per_ev_cell": 23.25,
  "cell": [[-1.043, -5.840, 5.795], [6.613, -3.150, -3.889], [3.783, 5.775, 4.595]],
  "species": ["Pm", "Pm", "Pm", "Pm", "Pm", "Pm", "Pm", "Pm", "Pm", "Pm", "Pm", "Pm", "Pt", "Pt", "Pt", "Pt", "Pt", "Pt", "H"],
  "frac_coords": [[0.926, 0.040, 0.688], [0.419, 0.579, 0.178], [0.074, 0.960, 0.312], [0.178, 0.419, 0.579], [0.040, 0.688, 0.926], [0.822, 0.581, 0.421], [0.312, 0.074, 0.960], [0.581, 0.421, 0.822], [0.688, 0.926, 0.040], [0.960, 0.312, 0.074], [0.579, 0.178, 0.419], [0.421, 0.822, 0.581], [0.380, 0.699, 0.872], [0.128, 0.620, 0.301], [0.301, 0.128, 0.620], [0.872, 0.380, 0.699], [0.699, 0.872, 0.380], [0.620, 0.301, 0.128], [0.000, 0.000, 0.000]]
}

{
  "formula": "PmHPt",
  "functional": "PBE",
  "state": "relaxed",
  "space_group": "P3m1, No. 156",
  "relative_energy_mev_per_atom": 260.5,
  "energy_ev_per_atom": -5.292,
  "magnetic_moment_mub_per_cell": 0.00,
  "n_ef_per_ev_cell": 1.41,
  "cell": [[-1.417, 1.263, 3.103], [-3.705, -1.039, -1.268], [2.239, -2.645, 2.099]],
  "species": ["H", "Pt", "Pm"],
  "frac_coords": [[0.163, 0.667, 0.333], [0.168, 0.000, 0.000], [0.669, 0.333, 0.667]]
}

{
  "formula": "Pm2H2Pt3",
  "functional": "PBE",
  "state": "relaxed",
  "space_group": "P2/m, No. 10",
  "energy_ev_per_atom": -5.626,
  "magnetic_moment_mub_per_cell": 0.00,
  "n_ef_per_ev_cell": 2.95,
  "cell": [[-2.534, 1.256, 2.517], [2.208, -1.002, 2.722], [5.110, 7.305, -1.455]],
  "species": ["H", "H", "Pt", "Pt", "Pt", "Pm", "Pm"],
  "frac_coords": [[0.919, 0.000, 0.802], [0.081, 0.000, 0.198], [0.805, 0.000, 0.607], [0.000, 0.000, 0.000], [0.195, 0.000, 0.393], [0.394, 0.500, 0.773], [0.606, 0.500, 0.227]]
}

{
  "formula": "PmH5Pt",
  "functional": "PBE",
  "state": "relaxed",
  "space_group": "Imm2, No. 44",
  "energy_ev_per_atom": -4.318,
  "magnetic_moment_mub_per_cell": 0.00,
  "n_ef_per_ev_cell": 0.66,
  "cell": [[4.348, 0.000, 1.698], [1.926, 3.915, 1.485], [0.742, 0.540, 4.516]],
  "species": ["H", "H", "H", "H", "H", "Pm", "Pt"],
  "frac_coords": [[0.397, 0.150, 0.850], [0.062, 0.500, 0.500], [0.866, 0.318, 0.318], [0.502, 0.682, 0.682], [0.397, 0.850, 0.150], [0.889, 0.000, 0.000], [0.417, 0.500, 0.500]]
}

{
  "formula": "Pm8HPt5",
  "functional": "PBE",
  "state": "relaxed",
  "space_group": "I-4, No. 82",
  "energy_ev_per_atom": -5.962,
  "magnetic_moment_mub_per_cell": 0.00,
  "n_ef_per_ev_cell": 11.74,
  "cell": [[7.712, -0.060, 0.102], [-2.665, 7.237, -0.102], [-2.381, -3.688, 6.341]],
  "species": ["Pt", "Pt", "Pt", "Pt", "Pt", "Pm", "Pm", "Pm", "Pm", "Pm", "Pm", "Pm", "Pm", "H"],
  "frac_coords": [[0.014, 0.369, 0.145], [0.855, 0.869, 0.224], [0.776, 0.631, 0.645], [0.500, 0.000, 0.500], [0.355, 0.131, 0.986], [0.999, 0.153, 0.750], [0.662, 0.378, 0.893], [0.154, 0.751, 0.001], [0.598, 0.847, 0.846], [0.716, 0.231, 0.338], [0.515, 0.622, 0.284], [0.250, 0.249, 0.402], [0.107, 0.769, 0.485], [0.250, 0.500, 0.750]]
}

{
  "formula": "Pm2H8Pt3",
  "functional": "PBE",
  "state": "relaxed",
  "space_group": "C2/m, No. 12",
  "energy_ev_per_atom": -4.606,
  "magnetic_moment_mub_per_cell": 0.00,
  "n_ef_per_ev_cell": 2.63,
  "cell": [[5.270, 0.000, 0.000], [-2.635, 4.134, -1.432], [0.000, 0.918, 6.809]],
  "species": ["Pm", "Pm", "H", "H", "H", "H", "H", "H", "H", "H", "Pt", "Pt", "Pt"],
  "frac_coords": [[0.709, 0.419, 0.749], [0.291, 0.581, 0.251], [0.638, 0.277, 0.096], [0.351, 0.257, 0.471], [0.649, 0.743, 0.529], [0.362, 0.723, 0.904], [0.094, 0.743, 0.529], [0.114, 0.227, 0.913], [0.906, 0.257, 0.471], [0.886, 0.773, 0.087], [0.250, 0.000, 0.000], [0.750, 0.000, 0.000], [0.000, 0.000, 0.500]]
}

{
  "formula": "Pm3H12Pt5",
  "functional": "PBE",
  "state": "relaxed",
  "space_group": "Ia-3d, No. 230",
  "energy_ev_per_atom": -4.558,
  "magnetic_moment_mub_per_cell": 0.00,
  "n_ef_per_ev_cell": 24.69,
  "cell": [[-4.755, 2.671, 8.932], [-3.595, -9.285, -3.225], [10.325, -0.619, 1.595]],
  "species": ["H", "H", "H", "H", "H", "H", "H", "H", "H", "H", "H", "H", "H", "H", "H", "H", "H", "H", "H", "H", "H", "H", "H", "H", "H", "H", "H", "H", "H", "H", "H", "H", "H", "H", "H", "H", "H", "H", "H", "H", "H", "H", "H", "H", "H", "H", "H", "H", "Pm", "Pm", "Pm", "Pm", "Pm", "Pm", "Pm", "Pm", "Pm", "Pm", "Pm", "Pm", "Pt", "Pt", "Pt", "Pt", "Pt", "Pt", "Pt", "Pt", "Pt", "Pt", "Pt", "Pt", "Pt", "Pt", "Pt", "Pt", "Pt", "Pt", "Pt", "Pt"],
  "frac_coords": [[0.823, 0.917, 0.317], [0.917, 0.095, 0.600], [0.417, 0.317, 0.323], [0.005, 0.405, 0.823], [0.317, 0.900, 0.995], [0.495, 0.817, 0.900], [0.495, 0.677, 0.095], [0.905, 0.823, 0.505], [0.600, 0.005, 0.183], [0.900, 0.317, 0.495], [0.317, 0.417, 0.823], [0.505, 0.323, 0.905], [0.183, 0.677, 0.083], [0.177, 0.083, 0.683], [0.583, 0.900, 0.405], [0.505, 0.183, 0.100], [0.400, 0.995, 0.817], [0.083, 0.905, 0.400], [0.095, 0.177, 0.495], [0.917, 0.823, 0.817], [0.995, 0.595, 0.177], [0.323, 0.817, 0.417], [0.100, 0.417, 0.095], [0.900, 0.583, 0.905], [0.100, 0.683, 0.505], [0.083, 0.177, 0.183], [0.323, 0.505, 0.405], [0.595, 0.995, 0.677], [0.405, 0.005, 0.323], [0.595, 0.600, 0.417], [0.677, 0.183, 0.583], [0.183, 0.505, 0.600], [0.817, 0.323, 0.917], [0.683, 0.583, 0.177], [0.995, 0.400, 0.317], [0.600, 0.595, 0.917], [0.405, 0.400, 0.583], [0.400, 0.405, 0.083], [0.905, 0.083, 0.900], [0.583, 0.683, 0.677], [0.823, 0.905, 0.005], [0.005, 0.600, 0.683], [0.177, 0.095, 0.995], [0.677, 0.495, 0.595], [0.417, 0.100, 0.595], [0.095, 0.917, 0.100], [0.683, 0.100, 0.005], [0.817, 0.495, 0.400], [0.375, 0.625, 0.250], [0.875, 0.750, 0.125], [0.375, 0.750, 0.625], [0.625, 0.250, 0.375], [0.125, 0.250, 0.875], [0.875, 0.125, 0.250], [0.125, 0.875, 0.750], [0.625, 0.375, 0.750], [0.250, 0.125, 0.375], [0.750, 0.875, 0.625], [0.750, 0.375, 0.125], [0.250, 0.625, 0.875], [0.375, 0.125, 0.750], [0.375, 0.250, 0.125], [0.625, 0.875, 0.250], [0.500, 0.000, 0.500], [0.250, 0.375, 0.625], [0.750, 0.625, 0.375], [0.500, 0.500, 0.500], [0.000, 0.000, 0.000], [0.500, 0.000, 0.000], [0.250, 0.875, 0.125], [0.500, 0.500, 0.000], [0.125, 0.375, 0.250], [0.750, 0.125, 0.875], [0.000, 0.500, 0.500], [0.000, 0.500, 0.000], [0.625, 0.750, 0.875], [0.000, 0.000, 0.500], [0.875, 0.250, 0.625], [0.875, 0.625, 0.750], [0.125, 0.750, 0.375]]
}

{
  "formula": "PmHPt",
  "functional": "PBE",
  "state": "relaxed",
  "space_group": "P2_1/m, No. 11",
  "relative_energy_mev_per_atom": 0.0,
  "energy_ev_per_atom": -5.552,
  "magnetic_moment_mub_per_cell": 0.00,
  "n_ef_per_ev_cell": 1.49,
  "cell": [[-3.800, 0.659, -0.550], [-0.858, -4.575, 0.445], [-2.287, 0.928, 5.139]],
  "species": ["Pm", "Pm", "Pt", "Pt", "H", "H"],
  "frac_coords": [[0.181, 0.216, 0.677], [0.443, 0.716, 0.116], [0.852, 0.216, 0.246], [0.772, 0.716, 0.547], [0.622, 0.216, 0.007], [0.002, 0.716, 0.786]]
}

{
  "formula": "PmH7Pt2",
  "functional": "PBE",
  "state": "relaxed",
  "space_group": "Cmmm, No. 65",
  "energy_ev_per_atom": -4.239,
  "magnetic_moment_mub_per_cell": 0.00,
  "n_ef_per_ev_cell": 0.64,
  "cell": [[-0.055, -2.465, 2.630], [3.482, -3.352, -3.070], [1.247, 4.064, 3.836]],
  "species": ["Pt", "Pt", "H", "H", "H", "H", "H", "H", "H", "Pm"],
  "frac_coords": [[0.500, 0.670, 0.330], [0.500, 0.330, 0.670], [0.500, 0.708, 0.973], [0.500, 0.500, 0.500], [0.500, 0.027, 0.292], [0.000, 0.665, 0.335], [0.500, 0.973, 0.708], [0.000, 0.335, 0.665], [0.500, 0.292, 0.027], [0.000, 0.000, 0.000]]
}

{
  "formula": "PmH6Pt2",
  "functional": "PBE",
  "state": "relaxed",
  "space_group": "C2/c, No. 15",
  "energy_ev_per_atom": -4.413,
  "magnetic_moment_mub_per_cell": 0.00,
  "n_ef_per_ev_cell": 4.34,
  "cell": [[-4.726, -1.075, 3.994], [1.013, -4.120, -4.631], [5.330, -0.253, 3.321]],
  "species": ["H", "H", "H", "H", "H", "H", "H", "H", "H", "H", "H", "H", "Pt", "Pt", "Pt", "Pt", "Pm", "Pm"],
  "frac_coords": [[0.718, 0.277, 0.060], [0.887, 0.342, 0.545], [0.508, 0.113, 0.610], [0.003, 0.898, 0.890], [0.717, 0.658, 0.440], [0.113, 0.658, 0.455], [0.997, 0.102, 0.110], [0.703, 0.659, 0.045], [0.297, 0.341, 0.955], [0.492, 0.887, 0.390], [0.282, 0.723, 0.940], [0.283, 0.342, 0.560], [0.000, 0.682, 0.681], [0.000, 0.318, 0.319], [0.501, 0.319, 0.819], [0.499, 0.681, 0.181], [0.416, 0.166, 0.250], [0.584, 0.834, 0.750]]
}

{
  "formula": "PmHPt",
  "functional": "PBE",
  "state": "relaxed",
  "space_group": "P4/nmm, No. 129",
  "relative_energy_mev_per_atom": 248.3,
  "energy_ev_per_atom": -5.304,
  "magnetic_moment_mub_per_cell": 0.00,
  "n_ef_per_ev_cell": 3.63,
  "cell": [[3.771, 0.020, 0.000], [-0.020, 3.771, 0.000], [0.000, 0.000, 7.537]],
  "species": ["H", "H", "Pm", "Pm", "Pt", "Pt"],
  "frac_coords": [[0.336, 0.836, 0.120], [0.836, 0.336, 0.880], [0.837, 0.337, 0.199], [0.337, 0.837, 0.801], [0.337, 0.337, 0.500], [0.837, 0.837, 0.500]]
}

{
  "formula": "PmH4Pt3",
  "functional": "PBE",
  "state": "relaxed",
  "space_group": "Pm-3n, No. 223",
  "energy_ev_per_atom": -4.879,
  "magnetic_moment_mub_per_cell": 0.00,
  "n_ef_per_ev_cell": 6.30,
  "cell": [[5.580, 0.000, 0.000], [0.000, 5.580, 0.000], [0.000, 0.000, 5.580]],
  "species": ["Pm", "Pm", "H", "H", "H", "H", "H", "H", "H", "H", "Pt", "Pt", "Pt", "Pt", "Pt", "Pt"],
  "frac_coords": [[0.000, 0.000, 0.000], [0.500, 0.500, 0.500], [0.250, 0.250, 0.250], [0.750, 0.750, 0.250], [0.250, 0.750, 0.250], [0.750, 0.750, 0.750], [0.750, 0.250, 0.750], [0.750, 0.250, 0.250], [0.250, 0.250, 0.750], [0.250, 0.750, 0.750], [0.000, 0.500, 0.750], [0.250, 0.000, 0.500], [0.500, 0.750, 0.000], [0.000, 0.500, 0.250], [0.500, 0.250, 0.000], [0.750, 0.000, 0.500]]
}

{
  "formula": "Pm2H12PtRh3",
  "functional": "PBE",
  "state": "relaxed",
  "space_group": "R-3m, No. 166",
  "energy_ev_per_atom": -4.576,
  "magnetic_moment_mub_per_cell": 0.00,
  "n_ef_per_ev_cell": 8.87,
  "cell": [[6.143, 0.024, 0.017], [3.055, 5.330, 0.017], [3.055, 1.778, 5.025]],
  "species": ["Pt", "H", "H", "H", "H", "H", "H", "H", "H", "H", "H", "H", "H", "Pm", "Pm", "Rh", "Rh", "Rh"],
  "frac_coords": [[0.000, 0.000, 0.000], [0.654, 0.654, 0.086], [0.914, 0.346, 0.346], [0.651, 0.096, 0.096], [0.086, 0.654, 0.654], [0.346, 0.914, 0.346], [0.904, 0.904, 0.349], [0.904, 0.349, 0.904], [0.654, 0.086, 0.654], [0.346, 0.346, 0.914], [0.349, 0.904, 0.904], [0.096, 0.651, 0.096], [0.096, 0.096, 0.651], [0.376, 0.376, 0.376], [0.624, 0.624, 0.624], [0.000, 0.000, 0.500], [0.000, 0.500, 0.000], [0.500, 0.000, 0.000]]
}

{
  "formula": "Pm2H6PtRh",
  "functional": "PBE",
  "state": "relaxed",
  "space_group": "I4/mmm, No. 139",
  "energy_ev_per_atom": -4.853,
  "magnetic_moment_mub_per_cell": 0.00,
  "n_ef_per_ev_cell": 2.65,
  "cell": [[5.347, -0.005, 0.000], [-0.005, 5.347, 0.000], [-2.672, -2.672, 3.695]],
  "species": ["H", "H", "H", "H", "H", "H", "Rh", "Pm", "Pm", "Pt"],
  "frac_coords": [[0.258, 0.259, 0.000], [0.741, 0.259, 0.000], [0.741, 0.742, 0.000], [0.746, 0.746, 0.491], [0.254, 0.255, 0.508], [0.259, 0.742, 0.000], [0.500, 0.500, 0.000], [0.250, 0.750, 0.500], [0.750, 0.250, 0.500], [0.000, 0.000, 0.000]]
}